Entry 1:
Li4SnS4 | Alexandria via LeMat-Bulk | GGA-PBE | optimized geometry; ΔE_f (raw) = -1.0466 eV per atom
1.0
6.797 0.048 0.000
-0.599 6.771 0.000
0.000 0.000 7.988
Li Sn S
8 2 8
Direct
0.162 0.838 0.500 Li
0.162 0.838 0.000 Li
0.589 0.888 0.750 Li
0.112 0.411 0.250 Li
0.888 0.589 0.750 Li
0.411 0.112 0.250 Li
0.838 0.162 0.000 Li
0.838 0.162 0.500 Li
0.346 0.346 0.750 Sn
0.654 0.654 0.250 Sn
0.270 0.687 0.750 S
0.313 0.730 0.250 S
0.200 0.200 0.496 S
0.200 0.200 0.004 S
0.800 0.800 0.504 S
0.800 0.800 0.996 S
0.730 0.313 0.250 S
0.687 0.270 0.750 S

Entry 2:
NaBiPdCl2 | Alexandria via LeMat-Bulk | GGA-PBE | optimized geometry; ΔE_f (raw) = -0.0788 eV per atom
1.0
4.800 0.000 0.000
0.000 5.460 0.000
0.000 0.000 4.800
Na Bi Pd Cl
1 1 1 2
Direct
0.000 0.000 0.000 Na
0.500 0.500 0.500 Bi
0.000 0.500 0.000 Pd
0.000 0.000 0.500 Cl
0.500 0.000 0.000 Cl

Entry 3:
BaCaSbI2 | Alexandria via LeMat-Bulk | GGA-PBE | optimized geometry; ΔE_f (raw) = -0.9858 eV per atom
1.0
-3.695 -1.588 -4.356
-1.907 -4.556 3.278
-4.417 3.600 2.434
I Sb Ca Ba
2 1 1 1
Direct
0.000 0.500 0.000 I
0.500 0.000 0.000 I
0.000 0.000 0.500 Sb
0.000 0.000 0.000 Ca
0.500 0.500 0.500 Ba

Entry 4:
Tl3InF | Alexandria via LeMat-Bulk | GGA-PBE | optimized geometry; ΔE_f (raw) = -0.5260 eV per atom
1.0
-2.958 4.209 1.141
-1.002 -1.998 4.772
4.244 2.462 1.922
Tl F In
3 1 1
Direct
0.000 0.500 0.000 Tl
0.000 0.000 0.500 Tl
0.500 0.000 0.000 Tl
0.000 0.000 0.000 F
0.500 0.500 0.500 In

Entry 5:
Be3VOs | Alexandria via LeMat-Bulk | GGA-PBE | optimized geometry; calculated formation energy = 0.695 eV per atom
1.0
-1.218 -3.936 -0.383
3.630 -1.272 1.525
-1.569 0.113 3.827
Be Os V
3 1 1
Direct
0.000 0.500 0.000 Be
0.000 0.000 0.500 Be
0.500 0.000 0.000 Be
0.000 0.000 0.000 Os
0.500 0.500 0.500 V

Entry 6:
DyTmScIn | Alexandria via LeMat-Bulk | GGA-PBE | optimized geometry; calculated formation energy = -0.257 eV per atom
1.0
4.702 0.000 0.000
0.000 4.720 0.000
0.000 0.000 4.729
Dy Tm Sc In
1 1 1 1
Direct
0.500 0.500 0.000 Dy
0.500 0.000 0.500 Tm
0.000 0.000 0.000 Sc
0.000 0.500 0.500 In

Entry 7:
Y4ErBi5 | Alexandria via LeMat-Bulk | GGA-PBE | optimized geometry; calculated formation energy = -0.882 eV per atom
1.0
4.475 0.000 0.000
0.000 4.475 0.000
-2.238 -2.238 15.821
Y Er Bi
4 1 5
Direct
0.400 0.400 0.800 Y
0.800 0.800 0.601 Y
0.200 0.200 0.399 Y
0.600 0.600 0.200 Y
0.000 0.000 0.000 Er
0.099 0.099 0.199 Bi
0.500 0.500 0.000 Bi
0.901 0.901 0.801 Bi
0.300 0.300 0.600 Bi
0.700 0.700 0.400 Bi

Entry 8:
Ti2InPd | Alexandria via LeMat-Bulk | GGA-PBE | optimized geometry; calculated formation energy = -0.336 eV per atom
1.0
-2.283 -4.055 -0.379
3.048 -2.052 3.607
-3.880 1.814 3.962
Ti In Pd
4 2 2
Direct
0.750 0.848 0.016 Ti
0.250 0.152 0.984 Ti
0.750 0.837 0.525 Ti
0.250 0.163 0.475 Ti
0.750 0.348 0.755 In
0.250 0.652 0.245 In
0.750 0.332 0.255 Pd
0.250 0.668 0.745 Pd